SrIn6Br8, optimized geometry, DFT PBE-GGA; density of states at the Fermi level = 0.00 states/eV/cell; SG = R-3; DFT total energy = -2.981 eV/atom; uncorrected formation energy = -881 meV per atom
1.0
5.811 3.355 4.719
-5.811 3.355 4.719
0.000 -6.710 4.719
Sr In Br
1 6 8
Direct
0.000 0.000 0.000
0.210 0.376 0.584
0.376 0.584 0.210
0.416 0.790 0.624
0.584 0.210 0.376
0.624 0.416 0.790
0.790 0.624 0.416
0.097 0.788 0.333
0.212 0.667 0.903
0.224 0.224 0.224
0.333 0.097 0.788
0.667 0.903 0.212
0.776 0.776 0.776
0.788 0.333 0.097
0.903 0.212 0.667



ReBrO3, optimized geometry, DFT PBE-GGA; SG = C2/m; DFT total energy = -6.664 eV/atom; uncorrected formation energy = -865 meV per atom
1.0
6.278 -1.806 0.000
6.278 1.806 0.000
-3.374 0.000 8.314
Re Br O
2 2 6
Direct
0.035 0.035 0.353
0.965 0.965 0.647
0.400 0.400 0.133
0.600 0.600 0.867
0.103 0.103 0.594
0.113 0.113 0.230
0.417 0.417 0.576
0.583 0.583 0.424
0.887 0.887 0.770
0.897 0.897 0.406



In4PdRh3, optimized geometry, DFT PBE-GGA; density of states at the Fermi level = 7.99 states/eV/cell; SG = R-3m; DFT total energy = -5.191 eV/atom; energy of formation from the pure elements = -0.42 eV per atom
1.0
2.299 1.327 7.511
-2.299 1.327 7.511
0.000 -2.655 7.511
In Pd Rh
4 1 3
Direct
0.124 0.124 0.124
0.374 0.374 0.374
0.626 0.626 0.626
0.876 0.876 0.876
0.500 0.500 0.500
0.000 0.000 0.000
0.250 0.250 0.250
0.750 0.750 0.750



LiGaRePdRu, optimized geometry, DFT PBE-GGA; energy above the most stable polymorph in this dataset = 29 meV per atom; density of states at the Fermi level = 5.76 states/eV/cell; SG = Amm2; DFT total energy = -6.494 eV/atom; energy of formation from the pure elements = -0.12 eV per atom
1.0
2.738 0.000 0.000
0.000 4.000 0.000
0.000 0.000 12.945
Li Ga Re Pd Ru
2 2 2 2 2
Direct
0.000 0.000 0.000
0.000 0.500 0.500
0.000 0.000 0.606
0.000 0.500 0.106
0.500 0.000 0.216
0.500 0.500 0.716
0.500 0.000 0.426
0.500 0.500 0.926
0.000 0.000 0.800
0.000 0.500 0.300



NdZn2H8, optimized geometry, DFT PBE-GGA; density of states at the Fermi level = 1.24 states/eV/cell; SG = C2/m; DFT total energy = -3.072 eV/atom
1.0
4.041 -2.165 0.000
4.041 2.165 0.000
-2.393 0.000 5.817
Nd Zn H
1 2 8
Direct
0.000 0.000 0.000
0.230 0.230 0.669
0.770 0.770 0.331
0.093 0.529 0.169
0.129 0.129 0.393
0.453 0.453 0.813
0.471 0.907 0.831
0.529 0.093 0.169
0.547 0.547 0.187
0.871 0.871 0.607
0.907 0.471 0.831



BeSCl2, optimized geometry, DFT PBE-GGA; energy above the most stable polymorph in this dataset = 1179 meV per atom; density of states at the Fermi level = 6.54 states/eV/cell; SG = Fm-3m; DFT total energy = -2.063 eV/atom; uncorrected formation energy = 824 meV per atom
1.0
6.596 0.000 0.000
0.000 6.596 0.000
0.000 0.000 6.596
Be S Cl
4 4 8
Direct
0.000 0.000 0.000
0.000 0.500 0.500
0.500 0.000 0.500
0.500 0.500 0.000
0.000 0.000 0.500
0.000 0.500 0.000
0.500 0.000 0.000
0.500 0.500 0.500
0.250 0.250 0.250
0.250 0.250 0.750
0.250 0.750 0.250
0.250 0.750 0.750
0.750 0.250 0.250
0.750 0.250 0.750
0.750 0.750 0.250
0.750 0.750 0.750



ThCdCu, optimized geometry, DFT PBE-GGA; density of states at the Fermi level = 16.53 states/eV/cell; SG = F-43m; DFT total energy = -4.201 eV/atom; energy of formation from the pure elements = -0.06 eV per atom
1.0
6.669 0.000 0.000
0.000 6.669 0.000
0.000 0.000 6.669
Th Cd Cu
4 4 4
Direct
0.000 0.000 0.000
0.000 0.500 0.500
0.500 0.000 0.500
0.500 0.500 0.000
0.000 0.000 0.500
0.000 0.500 0.000
0.500 0.000 0.000
0.500 0.500 0.500
0.250 0.250 0.250
0.250 0.750 0.750
0.750 0.250 0.750
0.750 0.750 0.250



CaDyH4, optimized geometry, DFT PBE-GGA; density of states at the Fermi level = 1.76 states/eV/cell; SG = P4/mmm; DFT total energy = -3.952 eV/atom
1.0
3.709 0.000 0.000
0.000 3.709 0.000
0.000 0.000 5.328
Ca Dy H
1 1 4
Direct
0.000 0.000 0.000
0.500 0.500 0.500
0.000 0.500 0.261
0.000 0.500 0.739
0.500 0.000 0.261
0.500 0.000 0.739



FeCo2, optimized geometry, DFT PBE-GGA; density of states at the Fermi level = 9.58 states/eV/cell; SG = Cmcm; DFT total energy = -7.552 eV/atom; energy of formation from the pure elements = 0.01 eV per atom
1.0
3.993 0.000 0.000
0.000 12.093 0.000
0.000 0.000 2.804
Fe Co
4 8
Direct
0.000 0.084 0.250
0.000 0.916 0.750
0.500 0.416 0.750
0.500 0.584 0.250
0.000 0.245 0.750
0.000 0.416 0.250
0.000 0.584 0.750
0.000 0.755 0.250
0.500 0.084 0.750
0.500 0.255 0.250
0.500 0.745 0.750
0.500 0.916 0.250



Mo3AsRh, optimized geometry, DFT PBE-GGA; energy above the most stable polymorph in this dataset = 0 meV per atom; density of states at the Fermi level = 5.86 states/eV/cell; SG = Pm-3m; DFT total energy = -7.623 eV/atom; energy of formation from the pure elements = 1.28 eV per atom
1.0
4.552 0.000 0.000
0.000 4.552 0.000
0.000 0.000 4.552
Mo As Rh
3 1 1
Direct
0.000 0.000 0.500
0.000 0.500 0.000
0.500 0.000 0.000
0.000 0.000 0.000
0.500 0.500 0.500



RbSr2Cd2Pb2, optimized geometry, DFT PBE-GGA; density of states at the Fermi level = 1.50 states/eV/cell; SG = R-3m; DFT total energy = -2.219 eV/atom; energy of formation from the pure elements = -0.28 eV per atom
1.0
2.675 1.544 10.813
-2.675 1.544 10.813
0.000 -3.089 10.813
Rb Sr Cd Pb
1 2 2 2
Direct
0.000 0.000 0.000
0.134 0.134 0.134
0.866 0.866 0.866
0.432 0.432 0.432
0.568 0.568 0.568
0.250 0.250 0.250
0.750 0.750 0.750



What is the formula in the seventh record?
ThCdCu